Record 1
La3AgS: optimized geometry, PBE. Values from VASP.

## Properties
* ΔE to the lowest computed polymorph: 0.0 kJ/mol of atoms
* E: -5.027 eV/atom
* E_form (uncorrected): -65.1 kJ per mole of atoms

Cell and atoms, written as Quantum ESPRESSO input:
```
&SYSTEM
  ibrav = 0, nat = 5, ntyp = 3
/
ATOMIC_SPECIES
La 138.91 La.upf
Ag 107.87 Ag.upf
S 32.06 S.upf
CELL_PARAMETERS angstrom
5.4885 0.0000 0.0000
0.0000 5.4885 0.0000
0.0000 0.0000 5.4885
ATOMIC_POSITIONS angstrom
La 0.0000 0.0000 2.7442
La 0.0000 2.7442 0.0000
La 2.7442 0.0000 0.0000
Ag 2.7442 2.7442 2.7442
S 0.0000 0.0000 0.0000
```

Record 2
LaAgS2: optimized geometry, PBE. Values from VASP.

## Properties
* E: -5.205 eV/atom
* E_form (uncorrected): -115.5 kJ per mole of atoms

Cell and atoms, written as Quantum ESPRESSO input:
```
&SYSTEM
  ibrav = 0, nat = 16, ntyp = 3
/
ATOMIC_SPECIES
La 138.91 La.upf
Ag 107.87 Ag.upf
S 32.06 S.upf
CELL_PARAMETERS angstrom
5.8169 0.0000 0.0000
0.0000 5.8169 0.0000
0.0000 0.0000 13.7335
ATOMIC_POSITIONS angstrom
La 0.0000 0.0000 0.0000
La 0.0000 2.9085 3.4334
La 2.9085 0.0000 10.3002
La 2.9085 2.9085 6.8668
Ag 0.0000 0.0000 6.8668
Ag 0.0000 2.9085 10.3002
Ag 2.9085 0.0000 3.4334
Ag 2.9085 2.9085 0.0000
S 1.3181 1.4542 8.5835
S 1.4542 4.2266 12.0168
S 1.4542 4.4988 5.1501
S 1.5903 1.4542 1.7167
S 4.2266 4.3627 1.7167
S 4.3627 1.3181 5.1501
S 4.3627 1.5903 12.0168
S 4.4988 4.3627 8.5835
```